# SrSc2ZnFe GGA-PBE relaxed
data_SrSc2ZnFe
_chemical_formula_sum 'Sr1 Sc2 Zn1 Fe1'
_symmetry_space_group_name_H-M 'P 4/m m m'
_symmetry_Int_Tables_number 123
_symmetry_space_group_name_Hall '-P 4 2'
_cell_length_a 5.1076
_cell_length_b 5.1076
_cell_length_c 5.6879
_cell_angle_alpha 90.00
_cell_angle_beta 90.00
_cell_angle_gamma 90.00
loop_
_atom_site_label
_atom_site_type_symbol
_atom_site_fract_x
_atom_site_fract_y
_atom_site_fract_z
Sr1 Sr 0.0000 0.0000 0.0000
Sc1 Sc 0.0000 0.5000 0.5000
Zn1 Zn 0.0000 0.0000 0.5000
Fe1 Fe 0.5000 0.5000 0.0000
# Calculated density: 3.34 g cm⁻³
# VASP energy: -20.20 eV per cell
# ΔH_f (0 K): 0.7755 eV/atom